The following is a DFT calculation (PBE) of AgBi2TeO8 after structural relaxation.

Computed properties:
ρ, g cm⁻³: 7.5
Spin magnetization, μB per cell: 0.0
Calculated total energy, eV per formula unit: -63.06

a b c (Å): 4.976 4.976 7.035
angles (deg): 93.05 93.05 88.23
Positions (direct):
1 Ag 0.000 0.000 0.000
2 Bi 0.488 0.488 0.248
3 Bi 0.512 0.512 0.752
4 Te 0.000 0.000 0.500
5 O 0.162 0.162 0.278
6 O 0.201 0.201 0.699
7 O 0.286 0.714 0.500
8 O 0.299 0.701 0.000
9 O 0.701 0.299 0.000
10 O 0.714 0.286 0.500
11 O 0.799 0.799 0.301
12 O 0.838 0.838 0.722